This record from the Alexandria database describes Li2Pr2YIn2 after structural relaxation. The functional is GGA-PBE.

Values from the calculation:
- DOS(E_F): 18.48 states/eV/cell
- Formation energy: -0.256 eV/atom
- Total magnetic moment: 0.00 μB per cell
- E: -3.874 eV/atom

Cell: 4.8996 4.8996 27.0913 Å, 90.00 90.00 120.00°
Space group R-3m (No. 166, hexagonal axes)
One atom of each set of equivalent atoms:
Li1 0.0000 0.0000 0.1104 (multiplicity 6)
Pr1 0.0000 0.0000 0.3725 (multiplicity 6)
Y1 0.0000 0.0000 0.5000 (multiplicity 3)
In1 0.0000 0.0000 0.2331 (multiplicity 6)